VASP calculation (GGA-PBE) on crystalline SiOsSe2 at its relaxed geometry.

The space group is Immm (No. 71) and the conventional cell measures 3.436, 3.719 and 13.171 Å, with angles of 90.00, 90.00 and 90.00 degrees. Symmetry generates all atoms from Si at (0.000, 0.000, 0.000), Os at (0.000, 0.000, 0.500) and Se at (0.000, 0.500, 0.361).

The volume is 168.3 Å³/cell. The uncorrected energy is -5.85 eV per atom.